This record from Alexandria describes K3CaTc after structural relaxation. The functional is GGA-PBE.

Space group: Pm-3m, No. 221
Energy relative to the lowest polymorph listed for this composition: 0 meV per atom
Final energy: -1.779 eV per atom

extended XYZ file:
```
5
Lattice="6.142 0.000 0.000 0.000 6.142 0.000 0.000 0.000 6.142" Properties=species:S:1:pos:R:3 pbc="T T T"
K 0.000 0.000 3.071
K 0.000 3.071 0.000
K 3.071 0.000 0.000
Ca 3.071 3.071 3.071
Tc 0.000 0.000 0.000
```